Entry 1:
## YSc2B (meta-GGA SCAN)

Data for YSc2B at its PBEsol-relaxed geometry.

Computed properties:
As for the magnetization: 0.91 Bohr magnetons per cell. The raw total energy comes out at -15.8490 eV per atom. The energy of formation comes out at 0.088 eV per atom.

Structure (POSCAR):
```
YSc2B
1.0
-2.8072 1.1377 1.3754
-2.5373 -2.0766 0.5620
1.6303 -2.1791 9.1532
Y Sc B
1 2 1
Direct
0.0000 0.0000 0.0000 Y
0.8824 0.8824 0.3529 Sc
0.1176 0.1176 0.6471 Sc
0.5000 0.5000 0.5000 B
```

=====

Entry 2:
## FeAg2Mo (meta-GGA SCAN)

Data for FeAg2Mo at its PBEsol-relaxed geometry.

Computed properties:
The calculation puts the energy above the lowest structure with this stoichiometry at 16 meV/atom. As for the magnetization: 1.82 Bohr magnetons per cell. The raw total energy comes out at -28.3516 eV per atom. The energy of formation comes out at 0.586 eV per atom.

Structure (POSCAR):
```
FeAg2Mo
1.0
4.0461 0.0000 0.0000
-2.0231 4.1491 -0.0474
0.0000 2.0129 3.5099
Ag Fe Mo
2 1 1
Direct
0.0000 0.0000 0.0000 Ag
0.2500 0.5000 0.2500 Ag
0.5000 0.0000 0.5000 Fe
0.7500 0.5000 0.7500 Mo
```

=====

Entry 3:
## ScCr2NiH (meta-GGA SCAN)

Data for ScCr2NiH at its PBEsol-relaxed geometry.

Computed properties:
As for the magnetization: 8.00 Bohr magnetons per cell. The raw total energy comes out at -13.2050 eV per atom.

Structure (POSCAR):
```
ScCr2NiH
1.0
4.4923 0.0000 0.0000
0.0000 4.4923 0.0000
0.0000 0.0000 4.6879
Sc Ni H Cr
1 1 1 2
Direct
0.0000 0.0000 0.5000 Sc
0.0000 0.0000 0.0000 Ni
0.5000 0.5000 0.5000 H
0.0000 0.5000 0.0000 Cr
0.5000 0.0000 0.0000 Cr
```